Zr3AgBr | GGA-PBE | optimized geometry

Raw formation energy, eV per atom: 0.491
Distance to the lowest polymorph of the same formula, eV per atom: 0.000

Cell lengths 4.971, 4.971, 4.971 Å; angles 90.00, 90.00, 90.00 degrees
Fractional coordinates of all 5 atoms:
Br  0.000  0.000  0.000
Ag  0.500  0.500  0.500
Zr  0.000  0.500  0.000
Zr  0.000  0.000  0.500
Zr  0.500  0.000  0.000

ZrAg2Br | GGA-PBE | optimized geometry

Raw formation energy, eV per atom: -0.215
Distance to the lowest polymorph of the same formula, eV per atom: 0.000

Cell lengths 3.506, 3.369, 8.031 Å; angles 90.54, 90.00, 90.00 degrees
Fractional coordinates of all 4 atoms:
Ag  0.500  0.507  0.180
Ag  0.000  0.003  0.997
Zr  0.500  0.498  0.791
Br  0.000  0.492  0.533

Zr2AgBr8 | GGA-PBE | optimized geometry

Raw formation energy, eV per atom: -1.041

Cell lengths 7.097, 8.392, 8.392 Å; angles 80.84, 88.55, 88.55 degrees
Each line ends with the local moment (μB).
Fractional coordinates of all 11 atoms:
Br  0.244  0.401  0.401  -0.01
Br  0.779  0.063  0.710  -0.01
Br  0.282  0.807  0.807  -0.01
Br  0.221  0.290  0.937  -0.01
Br  0.221  0.937  0.290  -0.01
Br  0.779  0.710  0.063  -0.01
Br  0.718  0.193  0.193  -0.01
Br  0.756  0.599  0.599  -0.01
Zr  0.364  0.215  0.215  0.36
Zr  0.636  0.785  0.785  0.36
Ag  0.000  0.000  0.000  0.05

ZrAg2Br | GGA-PBE | optimized geometry

Raw formation energy, eV per atom: 0.124
Distance to the lowest polymorph of the same formula, eV per atom: 0.339

Cell lengths 3.995, 3.995, 5.193 Å; angles 90.00, 90.00, 90.00 degrees
Fractional coordinates of all 4 atoms:
Ag  0.500  0.500  0.000
Ag  0.000  0.000  0.000
Br  0.500  0.000  0.500
Zr  0.000  0.500  0.500

Zr2AgBr | GGA-PBE | optimized geometry

Raw formation energy, eV per atom: 0.545
Distance to the lowest polymorph of the same formula, eV per atom: 0.830

Cell lengths 5.061, 5.061, 5.061 Å; angles 60.00, 60.00, 60.00 degrees
Each line ends with the local moment (μB).
Fractional coordinates of all 4 atoms:
Zr  0.250  0.250  0.250  1.12
Zr  0.000  0.000  0.000  1.16
Br  0.750  0.750  0.750  0.02
Ag  0.500  0.500  0.500  0.07

ZrAg2Br | GGA-PBE | optimized geometry

Raw formation energy, eV per atom: -0.212
Distance to the lowest polymorph of the same formula, eV per atom: 0.003

Cell lengths 3.255, 3.255, 8.616 Å; angles 90.00, 90.00, 90.00 degrees
Fractional coordinates of all 4 atoms:
Ag  0.000  0.000  0.988
Ag  0.500  0.500  0.185
Zr  0.500  0.500  0.765
Br  0.000  0.000  0.561

Zr2Ag2Br | GGA-PBE | optimized geometry

Raw formation energy, eV per atom: -0.048

Cell lengths 7.077, 7.077, 4.438 Å; angles 90.00, 90.00, 90.00 degrees
Fractional coordinates of all 10 atoms:
Zr  0.845  0.655  0.000
Zr  0.345  0.845  0.000
Zr  0.155  0.345  0.000
Zr  0.655  0.155  0.000
Ag  0.860  0.360  0.500
Ag  0.640  0.860  0.500
Ag  0.360  0.140  0.500
Ag  0.140  0.640  0.500
Br  0.000  0.000  0.000
Br  0.500  0.500  0.000

ZrAg2Br | GGA-PBE | optimized geometry

Raw formation energy, eV per atom: -0.119
Distance to the lowest polymorph of the same formula, eV per atom: 0.096

Cell lengths 7.673, 7.673, 7.673 Å; angles 156.02, 145.22, 42.70 degrees
Fractional coordinates of all 4 atoms:
Ag  0.296  0.796  0.500
Ag  0.907  0.907  0.000
Br  0.571  0.571  0.000
Zr  0.725  0.225  0.500

ZrAgBr6 | GGA-PBE | optimized geometry

Raw formation energy, eV per atom: -0.892
Distance to the lowest polymorph of the same formula, eV per atom: 0.000

Cell lengths 7.049, 7.035, 7.292 Å; angles 118.84, 102.16, 64.10 degrees
Fractional coordinates of all 8 atoms:
Br  0.217  0.217  0.000
Br  0.747  0.104  0.701
Br  0.747  0.403  0.299
Br  0.783  0.783  0.000
Br  0.253  0.597  0.701
Br  0.253  0.896  0.299
Zr  0.000  0.000  0.000
Ag  0.500  0.500  0.000

ZrAg2Br | GGA-PBE | optimized geometry

Raw formation energy, eV per atom: 0.126
Distance to the lowest polymorph of the same formula, eV per atom: 0.341

Cell lengths 4.859, 4.859, 4.859 Å; angles 60.00, 60.00, 60.00 degrees
Fractional coordinates of all 4 atoms:
Ag  0.000  0.000  0.000
Ag  0.250  0.250  0.250
Zr  0.750  0.750  0.750
Br  0.500  0.500  0.500

ZrAgBr2 | GGA-PBE | optimized geometry

Raw formation energy, eV per atom: -0.393
Distance to the lowest polymorph of the same formula, eV per atom: 0.213

Cell lengths 7.540, 7.540, 7.540 Å; angles 155.15, 142.09, 45.87 degrees
Fractional coordinates of all 4 atoms:
Br  0.984  0.984  0.000
Br  0.673  0.173  0.500
Zr  0.513  0.513  0.000
Ag  0.331  0.831  0.500

Zr2AgBr | GGA-PBE | optimized geometry

Raw formation energy, eV per atom: -0.114
Distance to the lowest polymorph of the same formula, eV per atom: 0.172

Cell lengths 9.558, 9.558, 9.558 Å; angles 19.56, 19.56, 19.56 degrees
Fractional coordinates of all 4 atoms:
Br  0.750  0.750  0.750
Zr  0.499  0.499  0.499
Zr  0.001  0.001  0.001
Ag  0.250  0.250  0.250